1.
Material: ZrAs2SeI
Method: DFT, GGA-PBE
State: relaxed

Properties
Distance to the lowest polymorph of the same formula, meV per atom: 1025.9
Electronic total energy, eV/atom: -3.494
Size of the total moment, μB per formula unit: 0.00
Raw formation energy, eV/f.u.: 5.4
Space group: P4/mmm, No. 123

Unit cell a=5.262 b=5.262 c=5.134 alpha=90.00 beta=90.00 gamma=90.00
Fractional positions:
1 Zr 0.000 0.000 0.000
2 As 0.000 0.500 0.500
3 As 0.500 0.000 0.500
4 Se 0.500 0.500 0.000
5 I 0.500 0.500 0.500

---

2.
Material: TiHIr3
Method: DFT, GGA-PBE
State: relaxed

Properties
Distance to the lowest polymorph of the same formula, meV per atom: 2429.9
Electronic total energy, eV/atom: -5.655
Size of the total moment, μB per formula unit: 1.75
Space group: Pm-3m, No. 221

Unit cell a=4.596 b=4.596 c=4.596 alpha=90.00 beta=90.00 gamma=90.00
Fractional positions:
1 Ti 0.000 0.000 0.000
2 H 0.500 0.500 0.500
3 Ir 0.000 0.000 0.500
4 Ir 0.000 0.500 0.000
5 Ir 0.500 0.000 0.000

---

3.
Material: Ti6InSn2
Method: DFT, GGA-PBE
State: relaxed

Properties
Distance to the lowest polymorph of the same formula, meV per atom: 0.0
Electronic total energy, eV/atom: -6.576
DFT formation energy, eV/atom: -0.12
Size of the total moment, μB per formula unit: 0.00
Space group: Immm, No. 71

Unit cell a=7.548 b=7.548 c=7.548 alpha=143.13 beta=136.85 gamma=58.02
Fractional positions:
1 Ti 0.129 0.391 0.738
2 Ti 0.213 0.213 0.000
3 Ti 0.346 0.609 0.738
4 Ti 0.654 0.391 0.262
5 Ti 0.787 0.787 0.000
6 Ti 0.871 0.609 0.262
7 In 0.000 0.000 0.000
8 Sn 0.330 0.830 0.500
9 Sn 0.670 0.170 0.500

---

4.
Material: InFeNi4
Method: DFT, GGA-PBE
State: relaxed

Properties
Electronic total energy, eV/atom: -5.690
DFT formation energy, eV/atom: 0.03
Size of the total moment, μB per formula unit: 4.90
Space group: F-43m, No. 216

Unit cell a=4.776 b=4.776 c=4.776 alpha=60.00 beta=60.00 gamma=60.00
Fractional positions:
1 In 0.000 0.000 0.000
2 Fe 0.750 0.750 0.750
3 Ni 0.375 0.375 0.375
4 Ni 0.375 0.375 0.874
5 Ni 0.375 0.874 0.375
6 Ni 0.874 0.375 0.375

---

5.
Material: VIn2Pt9
Method: DFT, GGA-PBE
State: relaxed

Properties
Electronic total energy, eV/atom: -6.183
DFT formation energy, eV/atom: -0.44
Size of the total moment, μB per formula unit: 0.43
Space group: P4/mmm, No. 123

Unit cell a=4.001 b=4.001 c=12.027 alpha=90.00 beta=90.00 gamma=90.00
Fractional positions:
1 V 0.000 0.000 0.000
2 In 0.000 0.000 0.331
3 In 0.000 0.000 0.669
4 Pt 0.000 0.500 0.155
5 Pt 0.000 0.500 0.500
6 Pt 0.000 0.500 0.845
7 Pt 0.500 0.000 0.155
8 Pt 0.500 0.000 0.500
9 Pt 0.500 0.000 0.845
10 Pt 0.500 0.500 0.000
11 Pt 0.500 0.500 0.328
12 Pt 0.500 0.500 0.672

---

6.
Material: ZrIn4
Method: DFT, GGA-PBE
State: relaxed

Properties
Distance to the lowest polymorph of the same formula, meV per atom: 293.4
Electronic total energy, eV/atom: -3.675
DFT formation energy, eV/atom: 0.23
Size of the total moment, μB per formula unit: 0.00
Space group: I4/mmm, No. 139

Unit cell a=8.419 b=8.419 c=8.419 alpha=151.92 beta=151.92 gamma=40.13
Fractional positions:
1 Zr 0.000 0.000 0.000
2 In 0.250 0.750 0.500
3 In 0.410 0.410 0.000
4 In 0.590 0.590 0.000
5 In 0.750 0.250 0.500